BiAuO2 | PBE | relaxed

a = 6.5489 Å, b = 3.6840 Å, c = 6.7005 Å
α = 90.00°, β = 115.77°, γ = 90.00°
Space group P2_1/m (No. 11)
Unique sites:
Bi  0.0636  0.2500  0.2655 [2 per cell]
Au  0.4722  0.2500  0.8066 [2 per cell]
O  0.1259  0.2500  0.6889 [2 per cell]
O  0.1842  0.7500  0.0928 [2 per cell]

Formation energy without anion corrections   -767 meV/atom
ρ   10.0 Mg/m³
Total DFT energy (no corrections)   -20.14 eV per formula unit

=====

BiAuO | PBE | relaxed

a = 10.1813 Å, b = 4.2691 Å, c = 7.6962 Å
α = 90.00°, β = 119.28°, γ = 90.00°
Space group C2/m (No. 12)
Unique sites:
Bi  0.1563  0.0000  0.2831 [4 per cell]
Au  0.1608  0.0000  0.8989 [4 per cell]
O  0.2495  0.0000  0.6272 [4 per cell]

Formation energy without anion corrections   -397 meV/atom
ρ   9.6 Mg/m³
Total DFT energy (no corrections)   -13.31 eV per formula unit

=====

Bi2AuO6 | PBE | relaxed

a = 5.0735 Å, b = 5.0735 Å, c = 10.3223 Å
α = 90.00°, β = 90.00°, γ = 90.00°
Space group P4_2/mnm (No. 136)
Unique sites:
Bi  0.0000  0.0000  0.1656 [4 per cell]
Au  0.0000  0.0000  0.5000 [2 per cell]
O  0.1871  0.1871  0.3413 [8 per cell]
O  0.2085  0.2085  0.0000 [4 per cell]

Formation energy without anion corrections   -577 meV/atom
ρ   8.9 Mg/m³
Total DFT energy (no corrections)   -45.98 eV per formula unit

=====

Bi2Au2O | PBE | relaxed

a = 6.8220 Å, b = 6.8220 Å, c = 4.7936 Å
α = 90.00°, β = 90.00°, γ = 90.00°
Space group P4/mbm (No. 127)
Unique sites:
Bi  0.1936  0.3064  0.0000 [4 per cell]
Au  0.1425  0.6425  0.5000 [4 per cell]
O  0.0000  0.0000  0.0000 [2 per cell]

Formation energy without anion corrections   -129 meV/atom
ρ   12.3 Mg/m³
Total DFT energy (no corrections)   -19.92 eV per formula unit

=====

What did the first record say?
BiAuO2 | PBE | relaxed

a = 6.5489 Å, b = 3.6840 Å, c = 6.7005 Å
α = 90.00°, β = 115.77°, γ = 90.00°
Space group P2_1/m (No. 11)
Unique sites:
Bi  0.0636  0.2500  0.2655 [2 per cell]
Au  0.4722  0.2500  0.8066 [2 per cell]
O  0.1259  0.2500  0.6889 [2 per cell]
O  0.1842  0.7500  0.0928 [2 per cell]

Formation energy without anion corrections   -767 meV/atom
ρ   10.0 Mg/m³
Total DFT energy (no corrections)   -20.14 eV per formula unit

=====

- Look up the total DFT energy (no corrections) of the second one.
  -13.31 eV per formula unit

=====

- Which value of total DFT energy (no corrections) does entry 2 give?
  -13.31 eV per formula unit

=====

- ρ of number 4 (Bi2Au2O)?
  12.3 Mg/m³